No. 1
An optimized crystal structure of GaAuI3, computed with PBE-GGA.

abc: 8.9284 8.9284 12.6356
angles: 116.58 116.58 26.99
Last column: nearest neighbours and their distance in Å.
Fractional coordinates of all 10 atoms:
Ga 0.1589 0.1589 0.3566  5 I 2.96-3.08
Ga 0.8411 0.8411 0.6434  5 I 2.96-3.08
Au 0.4787 0.4787 0.1715  3 I 2.67-2.70
Au 0.5213 0.5213 0.8285  3 I 2.67-2.70
I 0.1153 0.1153 0.8145  2 Au 2.70
I 0.3511 0.3511 0.4753  3 Ga 2.96-3.04
I 0.3710 0.3710 0.8378  1 Au 2.67
I 0.6290 0.6290 0.1622  1 Au 2.67
I 0.6489 0.6489 0.5247  3 Ga 2.96-3.04
I 0.8847 0.8847 0.1855  2 Au 2.70

**D(E_F)**: 0.747 states/eV/atom
**Offset from the most stable computed form**: 86 meV/atom
**Symmetry**: C2/m
**Formation energy (no corrections)**: -0.129 eV per atom

No. 2
An optimized crystal structure of Ga5Au12I3, computed with PBE-GGA.

abc: 13.8989 13.8989 13.8989
angles: 109.47 109.47 109.47
Last column: nearest neighbours and their distance in Å.
Fractional coordinates of all 80 atoms:
Ga 0.0000 0.0000 0.0000  6 Au 2.61
Ga 0.0000 0.0000 0.5000  6 Au 2.61
Ga 0.0000 0.5000 0.0000  6 Au 2.61
Ga 0.0000 0.5000 0.5000  6 Au 2.61
Ga 0.1250 0.7500 0.8750  4 Au 2.65
Ga 0.1250 0.8750 0.2500  4 Au 2.65
Ga 0.2500 0.1250 0.8750  4 Au 2.65
Ga 0.2500 0.6250 0.3750  4 Au 2.65
Ga 0.3750 0.2500 0.6250  4 Au 2.65
Ga 0.3750 0.6250 0.7500  4 Au 2.65
Ga 0.5000 0.0000 0.0000  6 Au 2.61
Ga 0.5000 0.0000 0.5000  6 Au 2.61
Ga 0.5000 0.5000 0.0000  6 Au 2.61
Ga 0.5000 0.5000 0.5000  6 Au 2.61
Ga 0.6250 0.3750 0.2500  4 Au 2.65
Ga 0.6250 0.7500 0.3750  4 Au 2.65
Ga 0.7500 0.3750 0.6250  4 Au 2.65
Ga 0.7500 0.8750 0.1250  4 Au 2.65
Ga 0.8750 0.1250 0.7500  4 Au 2.65
Ga 0.8750 0.2500 0.1250  4 Au 2.65
Au 0.0532 0.1353 0.7142  2 Ga 2.61-2.65, 3 Au 2.77-2.84
Au 0.0532 0.4178 0.3390  2 Ga 2.61-2.65, 3 Au 2.77-2.84
Au 0.0788 0.6610 0.2142  2 Ga 2.61-2.65, 3 Au 2.77-2.84
Au 0.0788 0.9178 0.8647  2 Ga 2.61-2.65, 3 Au 2.77-2.84
Au 0.0822 0.1353 0.9212  2 Ga 2.61-2.65, 3 Au 2.77-2.84
Au 0.0822 0.4468 0.1610  2 Ga 2.61-2.65, 3 Au 2.77-2.84
Au 0.1353 0.7142 0.0532  2 Ga 2.61-2.65, 3 Au 2.77-2.84
Au 0.1353 0.9212 0.0822  2 Ga 2.61-2.65, 3 Au 2.77-2.84
Au 0.1610 0.0822 0.4468  2 Ga 2.61-2.65, 3 Au 2.77-2.84
Au 0.1610 0.5788 0.7142  2 Ga 2.61-2.65, 3 Au 2.77-2.84
Au 0.2142 0.0788 0.6610  2 Ga 2.61-2.65, 3 Au 2.77-2.84
Au 0.2142 0.6353 0.5532  2 Ga 2.61-2.65, 3 Au 2.77-2.84
Au 0.2858 0.8390 0.4212  2 Ga 2.61-2.65, 3 Au 2.77-2.84
Au 0.2858 0.9468 0.8647  2 Ga 2.61-2.65, 3 Au 2.77-2.84
Au 0.3390 0.0532 0.4178  2 Ga 2.61-2.65, 3 Au 2.77-2.84
Au 0.3390 0.7858 0.9212  2 Ga 2.61-2.65, 3 Au 2.77-2.84
Au 0.3647 0.4178 0.5788  2 Ga 2.61-2.65, 3 Au 2.77-2.84
Au 0.3647 0.4468 0.7858  2 Ga 2.61-2.65, 3 Au 2.77-2.84
Au 0.4178 0.3390 0.0532  2 Ga 2.61-2.65, 3 Au 2.77-2.84
Au 0.4178 0.5788 0.3647  2 Ga 2.61-2.65, 3 Au 2.77-2.84
Au 0.4212 0.2858 0.8390  2 Ga 2.61-2.65, 3 Au 2.77-2.84
Au 0.4212 0.6353 0.5822  2 Ga 2.61-2.65, 3 Au 2.77-2.84
Au 0.4468 0.1610 0.0822  2 Ga 2.61-2.65, 3 Au 2.77-2.84
Au 0.4468 0.7858 0.3647  2 Ga 2.61-2.65, 3 Au 2.77-2.84
Au 0.5532 0.2142 0.6353  2 Ga 2.61-2.65, 3 Au 2.77-2.84
Au 0.5532 0.8390 0.9178  2 Ga 2.61-2.65, 3 Au 2.77-2.84
Au 0.5788 0.3647 0.4178  2 Ga 2.61-2.65, 3 Au 2.77-2.84
Au 0.5788 0.7142 0.1610  2 Ga 2.61-2.65, 3 Au 2.77-2.84
Au 0.5822 0.4212 0.6353  2 Ga 2.61-2.65, 3 Au 2.77-2.84
Au 0.5822 0.6610 0.9468  2 Ga 2.61-2.65, 3 Au 2.77-2.84
Au 0.6353 0.5532 0.2142  2 Ga 2.61-2.65, 3 Au 2.77-2.84
Au 0.6353 0.5822 0.4212  2 Ga 2.61-2.65, 3 Au 2.77-2.84
Au 0.6610 0.2142 0.0788  2 Ga 2.61-2.65, 3 Au 2.77-2.84
Au 0.6610 0.9468 0.5822  2 Ga 2.61-2.65, 3 Au 2.77-2.84
Au 0.7142 0.0532 0.1353  2 Ga 2.61-2.65, 3 Au 2.77-2.84
Au 0.7142 0.1610 0.5788  2 Ga 2.61-2.65, 3 Au 2.77-2.84
Au 0.7858 0.3647 0.4468  2 Ga 2.61-2.65, 3 Au 2.77-2.84
Au 0.7858 0.9212 0.3390  2 Ga 2.61-2.65, 3 Au 2.77-2.84
Au 0.8390 0.4212 0.2858  2 Ga 2.61-2.65, 3 Au 2.77-2.84
Au 0.8390 0.9178 0.5532  2 Ga 2.61-2.65, 3 Au 2.77-2.84
Au 0.8647 0.0788 0.9178  2 Ga 2.61-2.65, 3 Au 2.77-2.84
Au 0.8647 0.2858 0.9468  2 Ga 2.61-2.65, 3 Au 2.77-2.84
Au 0.9178 0.5532 0.8390  2 Ga 2.61-2.65, 3 Au 2.77-2.84
Au 0.9178 0.8647 0.0788  2 Ga 2.61-2.65, 3 Au 2.77-2.84
Au 0.9212 0.0822 0.1353  2 Ga 2.61-2.65, 3 Au 2.77-2.84
Au 0.9212 0.3390 0.7858  2 Ga 2.61-2.65, 3 Au 2.77-2.84
Au 0.9468 0.5822 0.6610  2 Ga 2.61-2.65, 3 Au 2.77-2.84
Au 0.9468 0.8647 0.2858  2 Ga 2.61-2.65, 3 Au 2.77-2.84
I 0.1250 0.2500 0.3750  4 Au 2.95
I 0.1250 0.3750 0.7500  4 Au 2.95
I 0.2500 0.3750 0.1250  4 Au 2.95
I 0.2500 0.8750 0.6250  4 Au 2.95
I 0.3750 0.1250 0.2500  4 Au 2.95
I 0.3750 0.7500 0.1250  4 Au 2.95
I 0.6250 0.2500 0.8750  4 Au 2.95
I 0.6250 0.8750 0.7500  4 Au 2.95
I 0.7500 0.1250 0.3750  4 Au 2.95
I 0.7500 0.6250 0.8750  4 Au 2.95
I 0.8750 0.6250 0.2500  4 Au 2.95
I 0.8750 0.7500 0.6250  4 Au 2.95

**D(E_F)**: 0.198 states/eV/atom
**Symmetry**: Ia-3d
**Formation energy (no corrections)**: -0.023 eV per atom

No. 3
An optimized crystal structure of GaAuI3, computed with PBE-GGA.

abc: 5.6166 5.6166 5.6166
angles: 90.00 90.00 90.00
Last column: nearest neighbours and their distance in Å.
Fractional coordinates of all 5 atoms:
Ga 0.0000 0.0000 0.0000  6 I 2.81
Au 0.5000 0.5000 0.5000  12 I 3.97
I 0.0000 0.0000 0.5000  2 Ga 2.81
I 0.0000 0.5000 0.0000  2 Ga 2.81
I 0.5000 0.0000 0.0000  2 Ga 2.81

**D(E_F)**: 0.335 states/eV/atom
**Offset from the most stable computed form**: 498 meV/atom
**Symmetry**: Pm-3m
**Formation energy (no corrections)**: 0.283 eV per atom

No. 4
An optimized crystal structure of Ga3Au3I, computed with PBE-GGA.

abc: 7.2810 7.2810 7.2810
angles: 90.00 90.00 90.00
Last column: nearest neighbours and their distance in Å.
Fractional coordinates of all 14 atoms:
Ga 0.0000 0.2500 0.5000  4 Au 2.57
Ga 0.0000 0.7500 0.5000  4 Au 2.57
Ga 0.2500 0.5000 0.0000  4 Au 2.57
Ga 0.5000 0.0000 0.2500  4 Au 2.57
Ga 0.5000 0.0000 0.7500  4 Au 2.57
Ga 0.7500 0.5000 0.0000  4 Au 2.57
Au 0.0000 0.5000 0.2500  4 Ga 2.57
Au 0.0000 0.5000 0.7500  4 Ga 2.57
Au 0.2500 0.0000 0.5000  4 Ga 2.57
Au 0.5000 0.2500 0.0000  4 Ga 2.57
Au 0.5000 0.7500 0.0000  4 Ga 2.57
Au 0.7500 0.0000 0.5000  4 Ga 2.57
I 0.0000 0.0000 0.0000  12 Ga 4.07, 12 Au 4.07
I 0.5000 0.5000 0.5000  12 Ga 4.07, 12 Au 4.07

**D(E_F)**: 0.230 states/eV/atom
**Symmetry**: Pm-3n
**Formation energy (no corrections)**: -0.026 eV per atom

No. 5
An optimized crystal structure of Ga2AuI, computed with PBE-GGA.

abc: 7.6144 7.6144 7.6144
angles: 31.18 31.18 31.18
Last column: nearest neighbours and their distance in Å.
Fractional coordinates of all 4 atoms:
Ga 0.0000 0.0000 0.0000  3 Au 2.72
Ga 0.2108 0.2108 0.2108  3 Au 2.70
Au 0.6045 0.6045 0.6045  6 Ga 2.70-2.72
I 0.4306 0.4306 0.4306  6 Ga 3.17-3.42

**D(E_F)**: 0.520 states/eV/atom
**Offset from the most stable computed form**: 41 meV/atom
**Symmetry**: R3m
**Formation energy (no corrections)**: -0.134 eV per atom

No. 6
An optimized crystal structure of GaAuI3, computed with PBE-GGA.

abc: 7.4173 7.4173 10.6593
angles: 109.05 109.05 73.74
Last column: nearest neighbours and their distance in Å.
Fractional coordinates of all 10 atoms:
Ga 0.0268 0.0268 0.3058  3 I 2.53-2.73, 2 Au 2.58-2.62
Ga 0.9732 0.9732 0.6942  3 I 2.53-2.73, 2 Au 2.58-2.62
Au 0.1241 0.1241 0.5708  2 Ga 2.58-2.62, 1 Au 2.71, 1 I 2.74
Au 0.8759 0.8759 0.4292  2 Ga 2.58-2.62, 1 Au 2.71, 1 I 2.74
I 0.1773 0.6954 0.1775  1 Ga 2.53
I 0.2784 0.2784 0.4371  1 Ga 2.73, 1 Au 2.74
I 0.3046 0.8227 0.8225  1 Ga 2.53
I 0.6954 0.1773 0.1775  1 Ga 2.53
I 0.7216 0.7216 0.5629  1 Ga 2.73, 1 Au 2.74
I 0.8227 0.3046 0.8225  1 Ga 2.53

**Offset from the most stable computed form**: 0 meV/atom
**Symmetry**: C2/m
**Formation energy (no corrections)**: -0.215 eV per atom

No. 7
An optimized crystal structure of GaAu2I, computed with PBE-GGA.

abc: 5.0590 5.0590 5.0590
angles: 60.00 60.00 60.00
Last column: nearest neighbours and their distance in Å.
Fractional coordinates of all 4 atoms:
Ga 0.0000 0.0000 0.0000  8 Au 3.10
Au 0.2500 0.2500 0.2500  4 I 3.10, 4 Ga 3.10
Au 0.7500 0.7500 0.7500  4 I 3.10, 4 Ga 3.10
I 0.5000 0.5000 0.5000  8 Au 3.10

**D(E_F)**: 0.143 states/eV/atom
**Offset from the most stable computed form**: 282 meV/atom
**Symmetry**: Fm-3m
**Formation energy (no corrections)**: 0.329 eV per atom

No. 8
An optimized crystal structure of GaAu2I5, computed with PBE-GGA.

abc: 11.0554 11.0554 17.2768
angles: 90.00 90.00 154.71
Last column: nearest neighbours and their distance in Å.
Fractional coordinates of all 16 atoms:
Ga 0.0183 0.9817 0.7500  3 I 2.47-2.54
Ga 0.9817 0.0183 0.2500  3 I 2.47-2.54
Au 0.1485 0.8515 0.5728  2 I 2.64
Au 0.1485 0.8515 0.9272  2 I 2.64
Au 0.8515 0.1485 0.0728  2 I 2.64
Au 0.8515 0.1485 0.4272  2 I 2.64
I 0.0354 0.9646 0.1234  1 Ga 2.47
I 0.0354 0.9646 0.3766  1 Ga 2.47
I 0.1362 0.8638 0.7500  1 Ga 2.54
I 0.3403 0.6597 0.0134  2 Au 2.64
I 0.3403 0.6597 0.4866  2 Au 2.64
I 0.6597 0.3403 0.5134  2 Au 2.64
I 0.6597 0.3403 0.9866  2 Au 2.64
I 0.8638 0.1362 0.2500  1 Ga 2.54
I 0.9646 0.0354 0.6234  1 Ga 2.47
I 0.9646 0.0354 0.8766  1 Ga 2.47

**Symmetry**: Cmcm
**Formation energy (no corrections)**: -0.132 eV per atom

No. 9
An optimized crystal structure of GaAu2I, computed with PBE-GGA.

abc: 6.6590 6.6590 6.6590
angles: 116.32 116.32 96.50
Last column: nearest neighbours and their distance in Å.
Fractional coordinates of all 8 atoms:
Ga 0.0000 0.0000 0.0000  4 Au 2.52
Ga 0.7500 0.2500 0.5000  4 Au 2.52
Au 0.0783 0.1250 0.4533  2 Ga 2.52
Au 0.3750 0.9217 0.0467  2 Ga 2.52
Au 0.6717 0.6250 0.5467  2 Ga 2.52
Au 0.8750 0.3283 0.9533  2 Ga 2.52
I 0.2500 0.7500 0.5000  4 Au 2.94
I 0.5000 0.5000 0.0000  4 Au 2.94

**D(E_F)**: 0.147 states/eV/atom
**Offset from the most stable computed form**: 0 meV/atom
**Symmetry**: I-42d
**Formation energy (no corrections)**: 0.047 eV per atom

No. 10
An optimized crystal structure of GaAuI4, computed with PBE-GGA.

abc: 7.7314 7.7314 10.1007
angles: 90.00 90.00 94.81
Last column: nearest neighbours and their distance in Å.
Fractional coordinates of all 12 atoms:
Ga 0.1834 0.8166 0.7500  4 I 2.54-2.68
Ga 0.8166 0.1834 0.2500  4 I 2.54-2.68
Au 0.2118 0.2118 0.0000  2 I 2.60
Au 0.7882 0.7882 0.5000  2 I 2.60
I 0.1628 0.2423 0.2531  1 Au 2.60, 1 Ga 2.68
I 0.2423 0.1628 0.7469  1 Au 2.60, 1 Ga 2.68
I 0.2936 0.6962 0.9648  1 Ga 2.54
I 0.3038 0.7064 0.5352  1 Ga 2.54
I 0.6962 0.2936 0.0352  1 Ga 2.54
I 0.7064 0.3038 0.4648  1 Ga 2.54
I 0.7577 0.8372 0.2469  1 Au 2.60, 1 Ga 2.68
I 0.8372 0.7577 0.7531  1 Au 2.60, 1 Ga 2.68

**D(E_F)**: 0.000 states/eV/atom
**Offset from the most stable computed form**: 0 meV/atom
**Symmetry**: C222_1
**Formation energy (no corrections)**: -0.339 eV per atom

No. 11
An optimized crystal structure of In2GaAuI, computed with PBE-GGA.

abc: 5.5315 5.5315 5.0960
angles: 90.00 90.00 90.00
Last column: nearest neighbours and their distance in Å.
Fractional coordinates of all 5 atoms:
In 0.0000 0.5000 0.0000  2 Au 2.77
In 0.5000 0.0000 0.0000  2 Au 2.77
Ga 0.0000 0.0000 0.5000  2 Au 2.55
Au 0.0000 0.0000 0.0000  2 Ga 2.55, 4 In 2.77
I 0.5000 0.5000 0.5000  8 In 3.76, 4 Ga 3.91

**D(E_F)**: 0.105 states/eV/atom
**Symmetry**: P4/mmm
**Formation energy (no corrections)**: -0.182 eV per atom